Entry 1:
Entry from the Alexandria database: a relaxed structure of ThRe4P2 (PBE).

The value obtained for the uncorrected energy is -144.376 eV/cell. The total moment comes out at 0.00 μB per formula unit. The calculated formation energy comes out at -594 meV per atom.

The structure belongs to space group Cmmm (No. 65); the cell edges are 4.0963, 13.7874 and 4.0737 Å and the angles 90.00°, 90.00° and 90.00°. Symmetry generates all atoms from Th at (0.0000, 0.0000, 0.0000), Re at (0.0000, 0.1828, 0.5000), Re at (0.0000, 0.3089, 0.0000) and P at (0.0000, 0.4118, 0.5000).

---

Entry 2:
Entry from the Alexandria database: a relaxed structure of NbGaPd3 (PBE).

The value obtained for the uncorrected energy is -61.236 eV/cell. The total moment comes out at 0.00 μB per formula unit. For the polymorph energy (0 for the lowest one), the calculation gives 0.0 kJ per mole of atoms. The calculated formation energy comes out at -389 meV per atom.

The structure belongs to space group P-1 (No. 2); the cell edges are 2.8842, 5.4793 and 10.5732 Å and the angles 80.09°, 82.21° and 74.76°. Symmetry generates all atoms from Nb at (0.0231, 0.3292, 0.1212), Ga at (0.3102, 0.5669, 0.3135), Pd at (0.1167, 0.7324, 0.5311), Pd at (0.3019, 0.8135, 0.0833) and Pd at (0.3954, 0.0090, 0.6985).

---

Entry 3:
Entry from the Alexandria database: a relaxed structure of Ce2Se3N (PBE).

The formation energy (no corrections) comes out at -1322 meV per atom. The value obtained for the uncorrected energy is -154.315 eV/cell. The total moment comes out at 0.43 μB per formula unit.

The structure belongs to space group Ibam (No. 72); the cell edges are 5.8332, 13.9907 and 7.7370 Å and the angles 90.00°, 90.00° and 90.00°. Symmetry generates all atoms from Ce at (0.2287, 0.1090, 0.0000), Se at (0.0000, 0.2470, 0.2500), Se at (0.0000, 0.5000, 0.2500) and N at (0.0000, 0.0000, 0.0000).

---

Entry 4:
Entry from the Alexandria database: a relaxed structure of HfSe2Br (PBE).

The formation energy (no corrections) comes out at 367 meV per atom. The value obtained for the uncorrected energy is -51.376 eV/cell. The total moment comes out at 0.00 μB per formula unit. For the polymorph energy (0 for the lowest one), the calculation gives 117.3 kJ per mole of atoms.

The structure belongs to space group R-3m (No. 166, hexagonal axes); the cell edges are 3.4216, 3.4216 and 29.5445 Å and the angles 90.00°, 90.00° and 120.00°. Symmetry generates all atoms from Hf at (0.0000, 0.0000, 0.0000), Se at (0.0000, 0.0000, 0.0856) and Br at (0.0000, 0.0000, 0.5000).

---

Entry 5:
Entry from the Alexandria database: a relaxed structure of CrIr2W (PBE).

The value obtained for the uncorrected energy is -152.838 eV/cell. The total moment comes out at 1.57 μB per formula unit. For the polymorph energy (0 for the lowest one), the calculation gives 73.7 kJ per mole of atoms. The calculated formation energy comes out at 522 meV per atom.

The structure belongs to space group I-42d (No. 122); the cell edges are 3.8122, 3.8122 and 17.5002 Å and the angles 90.00°, 90.00° and 90.00°. Symmetry generates all atoms from Cr at (0.0000, 0.0000, 0.0000), Ir at (0.2355, 0.2500, 0.1250) and W at (0.0000, 0.0000, 0.5000).

---

Entry 6:
Entry from the Alexandria database: a relaxed structure of CuGe3Bi (PBE).

The value obtained for the uncorrected energy is -19.971 eV/cell. The total moment comes out at 0.00 μB per formula unit. For the polymorph energy (0 for the lowest one), the calculation gives 0.0 kJ per mole of atoms. The calculated formation energy comes out at 372 meV per atom.

The structure belongs to space group Pm-3m (No. 221); the cell edges are 4.8182, 4.8182 and 4.8182 Å and the angles 90.00°, 90.00° and 90.00°. Symmetry generates all atoms from Cu at (0.0000, 0.0000, 0.0000), Ge at (0.0000, 0.0000, 0.5000) and Bi at (0.5000, 0.5000, 0.5000).

---

Entry 7:
Entry from the Alexandria database: a relaxed structure of CsZn2SnPd (PBE).

The value obtained for the uncorrected energy is -12.971 eV/cell. The total moment comes out at 0.00 μB per formula unit. The calculated formation energy comes out at -75 meV per atom.

The structure belongs to space group P4/mmm (No. 123); the cell edges are 5.1480, 5.1480 and 5.2164 Å and the angles 90.00°, 90.00° and 90.00°. Symmetry generates all atoms from Cs at (0.0000, 0.0000, 0.0000), Zn at (0.0000, 0.5000, 0.5000), Sn at (0.5000, 0.5000, 0.0000) and Pd at (0.5000, 0.5000, 0.5000).

---

Entry 8:
Entry from the Alexandria database: a relaxed structure of MgTl2P (PBE).

The value obtained for the uncorrected energy is -10.846 eV/cell. The total moment comes out at 0.00 μB per formula unit. For the polymorph energy (0 for the lowest one), the calculation gives 30.7 kJ per mole of atoms. The calculated formation energy comes out at 223 meV per atom.

The structure belongs to space group P4/mmm (No. 123); the cell edges are 3.8844, 3.8844 and 6.3663 Å and the angles 90.00°, 90.00° and 90.00°. Symmetry generates all atoms from Mg at (0.0000, 0.0000, 0.0000), Tl at (0.5000, 0.5000, 0.2610) and P at (0.0000, 0.0000, 0.5000).

---

Entry 9:
Entry from the Alexandria database: a relaxed structure of HfCuIr (PBE).

The value obtained for the uncorrected energy is -97.802 eV/cell. The total moment comes out at 0.00 μB per formula unit. For the polymorph energy (0 for the lowest one), the calculation gives 12.6 kJ per mole of atoms. The calculated formation energy comes out at -513 meV per atom.

The structure belongs to space group Amm2 (No. 38); the cell edges are 3.6798, 4.1654 and 12.4056 Å and the angles 90.00°, 90.00° and 90.00°. Symmetry generates all atoms from Hf at (0.0000, 0.0000, 0.0000), Hf at (0.0000, 0.0000, 0.3115), Cu at (0.0000, 0.0000, 0.6502), Cu at (0.5000, 0.0000, 0.4933), Ir at (0.5000, 0.0000, 0.1556) and Ir at (0.5000, 0.0000, 0.8237).

---

Entry 10:
Entry from the Alexandria database: a relaxed structure of Mg14ZnNi (PBE).

The value obtained for the uncorrected energy is -29.374 eV/cell. The total moment comes out at 0.00 μB per formula unit. For the polymorph energy (0 for the lowest one), the calculation gives 0.3 kJ per mole of atoms. The calculated formation energy comes out at 0 meV per atom.

The structure belongs to space group P-6m2 (No. 187); the cell edges are 6.1770, 6.1770 and 10.0859 Å and the angles 90.00°, 90.00° and 120.00°. Symmetry generates all atoms from Mg at (0.0000, 0.0000, 0.2481), Mg at (0.0111, 0.5055, 0.2594), Mg at (0.3300, 0.1650, 0.5000), Mg at (0.3349, 0.1675, 0.0000), Zn at (0.3333, 0.6667, 0.0000) and Ni at (0.3333, 0.6667, 0.5000).

---

Entry 11:
Entry from the Alexandria database: a relaxed structure of CrCu2Ag (PBE).

The value obtained for the uncorrected energy is -57.420 eV/cell. The total moment comes out at 1.85 μB per formula unit. For the polymorph energy (0 for the lowest one), the calculation gives 9.5 kJ per mole of atoms. The calculated formation energy comes out at 382 meV per atom.

The structure belongs to space group R3m (No. 160, hexagonal axes); the cell edges are 2.6883, 2.6883 and 26.4111 Å and the angles 90.00°, 90.00° and 120.00°. Symmetry generates all atoms from Cr at (0.0000, 0.0000, 0.0000), Cu at (0.0000, 0.0000, 0.4886), Cu at (0.0000, 0.0000, 0.7452) and Ag at (0.0000, 0.0000, 0.2430).

---

Entry 12:
Entry from the Alexandria database: a relaxed structure of MnInW2 (PBE).

The value obtained for the uncorrected energy is -72.876 eV/cell. The total moment comes out at 1.85 μB per formula unit. The calculated formation energy comes out at 344 meV per atom.

The structure belongs to space group Immm (No. 71); the cell edges are 3.2497, 4.3929 and 9.0103 Å and the angles 90.00°, 90.00° and 90.00°. Symmetry generates all atoms from Mn at (0.0000, 0.0000, 0.0000), In at (0.0000, 0.0000, 0.5000) and W at (0.0000, 0.5000, 0.2632).

---

Q: Which formula does entry 12 have?
A: MnInW2